No. 1
The following is a PBE-GGA calculation of La4PmPr7 after structural relaxation, from Alexandria via LeMat-Bulk.

Properties
Energy above the lowest structure with this stoichiometry = 195 meV/atom
ΔH_f (0 K) = 0.208 eV/atom
Size of the total moment = 0.000 μB/f.u.

abc: 12.3538 6.2156 13.2237
angles: 90.00 117.48 90.00
With the nearest neighbours (Å) after each atom.
Space group C2/m (No. 12)
Inequivalent atoms, fractional coordinates:
La 0.0594 0.0000 0.3274 x4  5 Pr 3.41-3.75, 2 La 3.80
La 0.1383 0.5000 0.7768 x4  7 Pr 3.53-3.83, 2 La 3.80
Pm 0.0000 0.5000 0.0000 x2  4 Pr 3.11-3.23
Pr 0.0000 0.0000 0.0000 x2  2 Pm 3.11, 2 Pr 3.22
Pr 0.1329 0.5000 0.5015 x4  2 Pr 3.27-3.37, 2 La 3.41-3.61
Pr 0.2110 0.0000 0.9219 x4  2 Pr 3.22-3.41, 1 Pm 3.23, 4 La 3.45-3.54
Pr 0.2486 0.0000 0.6825 x4  2 Pr 3.37-3.41, 1 La 3.75

***

No. 2
The following is a PBE-GGA calculation of La7Pm2Pr after structural relaxation, from Alexandria via LeMat-Bulk.

Properties
Energy above the lowest structure with this stoichiometry = 374 meV/atom
ΔH_f (0 K) = 0.551 eV/atom
Size of the total moment = 0.201 μB/f.u.

abc: 9.0782 16.2316 5.6857
angles: 90.00 90.00 90.00
With the nearest neighbours (Å) after each atom.
Space group Cmmm (No. 65)
Inequivalent atoms, fractional coordinates:
La 0.0000 0.0000 0.0000 x2  2 Pm 3.25, 4 La 3.40
La 0.0000 0.2569 0.5000 x4  2 Pm 2.99
La 0.1868 0.3849 0.0000 x8  2 Pm 3.16-3.44, 2 La 3.39-3.40
Pm 0.0000 0.2002 0.0000 x4  5 La 2.99-3.25
Pr 0.0000 0.5000 0.5000 x2  10 La 3.80-3.95

***

No. 3
The following is a PBE-GGA calculation of LaPm12Pr7 after structural relaxation, from Alexandria via LeMat-Bulk.

Properties
Energy above the lowest structure with this stoichiometry = 491 meV/atom
ΔH_f (0 K) = 0.573 eV/atom
Size of the total moment = 0.000 μB/f.u.

abc: 11.6615 11.6615 11.6615
angles: 90.00 90.00 90.00
With the nearest neighbours (Å) after each atom.
Space group Im-3m (No. 229)
Inequivalent atoms, fractional coordinates:
La 0.0000 0.0000 0.0000 x2  12 Pm 4.15
Pm 0.0000 0.2517 0.2517 x24  2 Pr 2.92
Pr 0.0000 0.0000 0.5000 x6  12 Pm 4.10-4.12
Pr 0.2500 0.2500 0.2500 x8  6 Pm 2.92

***

No. 4
The following is a PBE-GGA calculation of La3Pm8Pr after structural relaxation, from Alexandria via LeMat-Bulk.

Properties
ΔH_f (0 K) = 0.262 eV/atom
Size of the total moment = 0.000 μB/f.u.

abc: 6.6040 11.7011 11.7194
angles: 90.00 90.00 90.00
With the nearest neighbours (Å) after each atom.
Space group Immm (No. 71)
Inequivalent atoms, fractional coordinates:
La 0.0000 0.0000 0.0000 x2  8 Pm 3.37-3.55
La 0.0000 0.5000 0.2481 x4  6 Pm 3.86
Pm 0.0000 0.1705 0.2503 x8  6 Pm 3.49-3.79, 1 Pr 3.54, 4 La 3.55-3.86
Pm 0.2479 0.2519 0.0000 x8  6 Pm 3.27-3.49, 1 Pr 3.35, 1 La 3.37
Pr 0.0000 0.0000 0.5000 x2  8 Pm 3.35-3.54

***

- What is the size of the total moment in the second record?
  0.201 μB/f.u.

***

- What is the size of the total moment in the fourth record?
  0.000 μB/f.u.

***

- Which value of size of the total moment does entry 3 give?
  0.000 μB/f.u.

***

- Among the records above, which one has the highest ΔH_f (0 K)?
  LaPm12Pr7